Record 1
The following is a DFT calculation (PBE) of a geometry-optimized Sc2Hg2Pd7 structure.

```
11
Lattice="4.955 -0.654 -0.748 -1.066 6.473 0.221 -1.066 -0.642 6.445" Properties=species:S:1:pos:R:3 pbc="T T T"
Sc -1.066 1.121 4.902
Sc -1.066 4.710 1.764
Hg -0.242 1.395 1.595
Hg 3.065 3.782 4.323
Pd 1.908 5.315 2.354
Pd 0.914 3.551 0.337
Pd 0.914 -0.138 3.564
Pd 1.908 1.626 5.581
Pd 2.477 -0.327 -0.374
Pd 0.365 3.295 3.767
Pd 2.457 1.882 2.151
```

calculated formation energy	-422	meV/atom
symmetry	C2/m (12)
volume	17.9	Å³/atom


Record 2
The following is a DFT calculation (PBE) of a geometry-optimized LaTbEr2Hg4 structure.

```
8
Lattice="5.304 0.000 0.000 2.652 4.593 0.000 2.652 1.531 8.757" Properties=species:S:1:pos:R:3 pbc="T T T"
La 0.000 0.000 0.000
Tb 5.304 3.062 4.378
Er 7.956 4.593 6.535
Er 2.652 1.531 2.222
Hg 5.304 3.062 7.552
Hg 7.956 4.593 3.349
Hg 2.652 1.531 5.407
Hg 5.304 3.062 1.204
```

calculated formation energy	-469	meV/atom
symmetry	R-3m (166)
volume	26.7	Å³/atom


Record 3
The following is a DFT calculation (PBE) of a geometry-optimized SrMn structure.

```
8
Lattice="6.579 0.000 0.000 0.000 6.579 0.000 0.000 0.000 6.579" Properties=species:S:1:pos:R:3 pbc="T T T"
Sr 3.289 3.289 3.289
Sr 3.289 0.000 0.000
Sr 0.000 3.289 0.000
Sr 0.000 0.000 3.289
Mn 0.000 0.000 0.000
Mn 0.000 3.289 3.289
Mn 3.289 0.000 3.289
Mn 3.289 3.289 0.000
```

calculated formation energy	937	meV/atom
symmetry	Fm-3m (225)
volume	35.6	Å³/atom


Record 4
The following is a DFT calculation (PBE) of a geometry-optimized HoThNb4 structure.

```
6
Lattice="5.740 0.000 0.000 2.870 4.971 0.000 2.870 1.657 4.687" Properties=species:S:1:pos:R:3 pbc="T T T"
Nb 5.740 3.314 0.580
Nb 5.740 1.652 2.931
Nb 7.179 4.145 2.931
Nb 4.301 4.145 2.931
Ho 0.000 0.000 0.000
Th 2.870 1.657 1.172
```

calculated formation energy	86	meV/atom
symmetry	F-43m (216)
volume	22.3	Å³/atom


Record 5
The following is a DFT calculation (PBE) of a geometry-optimized LaCdTe3 structure.

```
5
Lattice="-4.723 -0.655 -2.852 -0.624 -5.065 2.197 -2.859 2.188 4.232" Properties=species:S:1:pos:R:3 pbc="T T T"
Cd 0.000 0.000 0.000
Te -0.312 -2.533 1.099
Te -1.430 1.094 2.116
Te -2.362 -0.328 -1.426
La -4.103 -1.766 1.788
```

formation energy without anion corrections	-343	meV per atom
energy relative to the lowest polymorph listed for this composition	0.000	eV per atom
symmetry	Pm-3m (221)
volume	34.3	Å³/atom


Record 6
The following is a DFT calculation (PBE) of a geometry-optimized NaPm2GeO5 structure.

```
18
Lattice="-5.723 -0.981 -0.407 1.010 -6.503 1.476 -0.703 1.381 6.564" Properties=species:S:1:pos:R:3 pbc="T T T"
Na 0.153 -2.561 4.020
Na 0.000 0.000 0.000
Pm -2.302 -4.651 1.961
Pm -2.909 -1.199 2.176
Pm -2.507 -4.905 5.457
Pm -3.114 -1.453 5.673
Ge -0.352 0.690 3.282
Ge 0.505 -3.252 0.738
O -2.708 -3.052 3.817
O -2.861 -0.490 -0.203
O -1.710 -0.247 4.277
O -0.784 -5.356 3.565
O -1.128 -2.419 1.331
O -1.365 -3.184 6.510
O -4.632 -0.748 4.069
O -4.288 -3.685 6.303
O -3.706 -5.857 3.357
O -4.051 -2.920 1.123
```

formation energy without anion corrections	-2309	meV per atom
symmetry	P4/mbm (127)
volume	14.7	Å³/atom